Entry from Alexandria: a relaxed KV3Fe crystal (PBE).

```
KV3Fe
1.0
4.258 0.000 0.000
0.000 4.258 0.000
0.000 0.000 4.258
V Fe K
3 1 1
Direct
0.000 0.500 0.000
0.500 0.000 0.000
0.000 0.000 0.500
0.500 0.500 0.500
0.000 0.000 0.000
```

Calculated values
For the total energy, the calculation gives -24.10 eV per formula unit. For the energy relative to the elements, the calculation gives 2.56 eV per atom. The volume comes out at 15.4 Å³/atom. The value obtained for the polymorph energy (0 for the lowest one) is 1.466 eV per atom.